1.
K4Nd3ScSe8, relaxed, DFT PBE; space group = R-3m (166); raw formation energy = -1704.8 meV per atom; electronic total energy = -5.0111 eV/atom; size of the total moment = 0.00 μB/cell
1.0
4.271 2.466 7.693
-4.271 2.466 7.693
0.000 -4.932 7.693
K Nd Sc Se
4 3 1 8
Direct
0.000 0.000 0.000 K
0.000 0.500 0.500 K
0.500 0.000 0.500 K
0.500 0.500 0.000 K
0.000 0.000 0.500 Nd
0.000 0.500 0.000 Nd
0.500 0.000 0.000 Nd
0.500 0.500 0.500 Sc
0.238 0.238 0.238 Se
0.252 0.726 0.726 Se
0.274 0.274 0.748 Se
0.274 0.748 0.274 Se
0.726 0.252 0.726 Se
0.726 0.726 0.252 Se
0.748 0.274 0.274 Se
0.762 0.762 0.762 Se

=====

2.
Ho12AgAu6, relaxed, DFT PBE; space group = R-3 (148); energy of formation = -0.396 eV/atom; electronic total energy = -4.4726 eV/atom; size of the total moment = 0.00 μB/cell
1.0
6.471 3.736 3.905
-6.471 3.736 3.905
0.000 -7.472 3.905
Ho Ag Au
12 1 6
Direct
0.063 0.934 0.675 Ho
0.066 0.325 0.937 Ho
0.178 0.577 0.427 Ho
0.325 0.937 0.066 Ho
0.423 0.573 0.822 Ho
0.427 0.178 0.577 Ho
0.573 0.822 0.423 Ho
0.577 0.427 0.178 Ho
0.675 0.063 0.934 Ho
0.822 0.423 0.573 Ho
0.934 0.675 0.063 Ho
0.937 0.066 0.325 Ho
0.000 0.000 0.000 Ag
0.137 0.304 0.614 Au
0.304 0.614 0.137 Au
0.386 0.863 0.696 Au
0.614 0.137 0.304 Au
0.696 0.386 0.863 Au
0.863 0.696 0.386 Au

=====

3.
PrNd8Pb2, relaxed, DFT PBE; space group = C2/m (12); energy of formation = -0.110 eV/atom; electronic total energy = -4.6861 eV/atom; size of the total moment = 0.00 μB/cell
1.0
8.444 -3.458 0.000
8.444 3.458 0.000
-0.524 0.000 6.503
Pr Nd Pb
1 8 2
Direct
0.000 0.000 0.000 Pr
0.157 0.647 0.595 Nd
0.211 0.211 0.832 Nd
0.353 0.843 0.405 Nd
0.416 0.416 0.099 Nd
0.584 0.584 0.901 Nd
0.647 0.157 0.595 Nd
0.789 0.789 0.168 Nd
0.843 0.353 0.405 Nd
0.256 0.256 0.329 Pb
0.744 0.744 0.671 Pb

=====

4.
Ce2Th, relaxed, DFT PBE; space group = I4/mmm (139); energy relative to the lowest polymorph listed for this composition = 0 meV/atom; energy of formation = 0.021 eV/atom; electronic total energy = -6.4081 eV/atom; size of the total moment = 0.00 μB/cell
1.0
-1.729 1.729 7.130
1.729 -1.729 7.130
1.729 1.729 -7.130
Ce Th
2 1
Direct
0.169 0.169 0.000 Ce
0.831 0.831 0.000 Ce
0.500 0.500 0.000 Th

=====

5.
CsNp4Ag3Te12, relaxed, DFT PBE; space group = Im-3 (204); raw formation energy = -316.0 meV per atom; electronic total energy = -5.2595 eV/atom; size of the total moment = 11.37 μB/cell
1.0
-5.599 5.599 5.599
5.599 -5.599 5.599
5.599 5.599 -5.599
Cs Np Ag Te
1 4 3 12
Direct
0.000 0.000 0.000 Cs
0.000 0.000 0.500 Np
0.000 0.500 0.000 Np
0.500 0.000 0.000 Np
0.500 0.500 0.500 Np
0.000 0.500 0.500 Ag
0.500 0.000 0.500 Ag
0.500 0.500 0.000 Ag
0.142 0.316 0.826 Te
0.174 0.490 0.316 Te
0.174 0.858 0.684 Te
0.316 0.174 0.490 Te
0.316 0.826 0.142 Te
0.490 0.316 0.174 Te
0.510 0.684 0.826 Te
0.684 0.174 0.858 Te
0.684 0.826 0.510 Te
0.826 0.142 0.316 Te
0.826 0.510 0.684 Te
0.858 0.684 0.174 Te

=====

6.
ErMn9Tc2, relaxed, DFT PBE; space group = R-3m (166); energy of formation = 0.023 eV/atom; electronic total energy = -8.9623 eV/atom; size of the total moment = 0.00 μB/cell
1.0
2.375 1.371 7.762
-2.375 1.371 7.762
0.000 -2.742 7.762
Er Mn Tc
1 9 2
Direct
0.000 0.000 0.000 Er
0.072 0.594 0.594 Mn
0.340 0.340 0.340 Mn
0.406 0.406 0.928 Mn
0.406 0.928 0.406 Mn
0.500 0.500 0.500 Mn
0.594 0.072 0.594 Mn
0.594 0.594 0.072 Mn
0.660 0.660 0.660 Mn
0.928 0.406 0.406 Mn
0.141 0.141 0.141 Tc
0.859 0.859 0.859 Tc

=====

7.
CsIBrN2, relaxed, DFT PBE; space group = P4/mmm (123); energy relative to the lowest polymorph listed for this composition = 499 meV/atom; raw formation energy = 1950.6 meV per atom; electronic total energy = -2.1948 eV/atom; size of the total moment = 4.64 μB/cell
1.0
4.955 0.000 0.000
0.000 4.955 0.000
0.000 0.000 7.810
Cs I Br N
1 1 1 2
Direct
0.000 0.000 0.000 Cs
0.000 0.000 0.500 I
0.500 0.500 0.500 Br
0.000 0.500 0.000 N
0.500 0.000 0.000 N

=====

8.
InMo3Cl, relaxed, DFT PBE; space group = Pm-3m (221); energy relative to the lowest polymorph listed for this composition = 0 meV/atom; raw formation energy = 886.7 meV per atom; electronic total energy = -6.5290 eV/atom; size of the total moment = 0.00 μB/cell
1.0
4.455 0.000 0.000
0.000 4.455 0.000
0.000 0.000 4.455
In Mo Cl
1 3 1
Direct
0.000 0.000 0.000 In
0.000 0.500 0.500 Mo
0.500 0.000 0.500 Mo
0.500 0.500 0.000 Mo
0.500 0.500 0.500 Cl

=====

9.
Tm2AlTl, relaxed, DFT PBE; space group = P4/mmm (123); energy of formation = -0.333 eV/atom; electronic total energy = -4.0960 eV/atom; size of the total moment = 0.00 μB/cell
1.0
3.560 0.000 0.000
0.000 3.560 0.000
0.000 0.000 7.773
Tm Al Tl
2 1 1
Direct
0.000 0.000 0.234 Tm
0.000 0.000 0.766 Tm
0.500 0.500 0.000 Al
0.500 0.500 0.500 Tl

=====

10.
Li2SbMo, relaxed, DFT PBE; space group = I4/mmm (139); raw formation energy = 212.5 meV per atom; electronic total energy = -4.4828 eV/atom; size of the total moment = 0.15 μB/cell
1.0
-1.941 1.941 4.600
1.941 -1.941 4.600
1.941 1.941 -4.600
Li Sb Mo
2 1 1
Direct
0.250 0.750 0.500 Li
0.750 0.250 0.500 Li
0.000 0.000 0.000 Sb
0.500 0.500 0.000 Mo